[1]
## AcMg2Zn4Ga (PBE-GGA)

Data for a geometry-optimized AcMg2Zn4Ga structure.

Cell and atoms, written as POSCAR:
```
AcMg2Zn4Ga
1.0
4.592 0.000 0.000
2.296 3.977 0.000
2.296 1.326 9.315
Ga Zn Ac Mg
1 4 1 2
direct
0.500 0.500 0.500
0.597 0.597 0.210
0.403 0.403 0.790
0.127 0.127 0.618
0.873 0.873 0.382
0.000 0.000 0.000
0.764 0.764 0.709
0.236 0.236 0.291
```

Calculated total energy, eV per atom: -2.080
Total moment, μB per atom: 0.000
Energy of formation, eV/f.u.: -1.22
Space-group type: No. 166


[2]
## CsYTeN2 (PBE-GGA)

Data for a geometry-optimized CsYTeN2 structure.

Cell and atoms, written as POSCAR:
```
CsYTeN2
1.0
-0.570 4.624 -0.932
-2.994 0.371 3.671
4.603 1.298 3.623
Cs Y N Te
1 1 2 1
direct
0.500 0.500 0.500
0.000 0.000 0.000
0.000 0.500 0.000
0.500 0.000 0.000
0.000 0.000 0.500
```

Calculated total energy, eV per atom: -5.024
E_form (uncorrected), eV/atom: 0.398
Total moment, μB per atom: 0.757
Space-group type: No. 123
Relative energy among the computed polymorphs, eV per formula unit: 0.00